# 1
{"formula": "La2Tb6SmTm3", "functional": "PBE-GGA", "state": "relaxed", "cell": [[-4.339, -4.369, 0.771], [5.981, -1.605, -0.413], [0.518, 2.980, 11.470]], "species": ["La", "La", "Tb", "Tb", "Tb", "Tb", "Tb", "Tb", "Sm", "Tm", "Tm", "Tm"], "frac_coords": [[0.334, 0.666, 0.000], [0.666, 0.334, 0.000], [0.914, 0.581, 0.744], [0.754, 0.754, 0.256], [0.086, 0.419, 0.256], [0.581, 0.914, 0.744], [0.246, 0.246, 0.744], [0.419, 0.086, 0.256], [0.000, 0.000, 0.000], [0.166, 0.834, 0.500], [0.834, 0.166, 0.500], [0.500, 0.500, 0.500]], "e_tot_ev_per_cell": -55.48, "dos_at_fermi_per_ev_cell": 16.95}

# 2
{"formula": "LiNd3Sm3S8", "functional": "PBE-GGA", "state": "relaxed", "cell": [[8.009, 0.000, 0.000], [-4.004, 6.936, -0.024], [0.000, -4.601, 6.576]], "species": ["Li", "Nd", "Nd", "Nd", "Sm", "Sm", "Sm", "S", "S", "S", "S", "S", "S", "S", "S"], "frac_coords": [[0.000, 0.000, 0.500], [0.000, 0.000, 0.000], [0.000, 0.500, 0.000], [0.500, 0.500, 0.000], [0.500, 0.000, 0.500], [0.500, 0.500, 0.500], [0.000, 0.500, 0.500], [0.252, 0.503, 0.255], [0.748, 0.497, 0.745], [0.757, 0.514, 0.260], [0.243, 0.486, 0.740], [0.757, 0.003, 0.260], [0.243, 0.997, 0.740], [0.246, 0.003, 0.260], [0.754, 0.997, 0.740]], "e_tot_ev_per_cell": -93.12, "formation_energy_uncorrected_ev_per_fu": -29.7, "dos_at_fermi_per_ev_cell": 4.61}

# 3
{"formula": "Bi3HAu", "functional": "PBE-GGA", "state": "relaxed", "cell": [[5.623, 0.000, 0.000], [0.000, 5.623, 0.000], [0.000, 0.000, 5.623]], "species": ["H", "Au", "Bi", "Bi", "Bi"], "frac_coords": [[0.500, 0.500, 0.500], [0.000, 0.000, 0.000], [0.000, 0.500, 0.000], [0.000, 0.000, 0.500], [0.500, 0.000, 0.000]], "e_tot_ev_per_cell": -13.72, "relative_energy_kj_per_mol_fu": 255.6, "dos_at_fermi_per_ev_cell": 5.15}

# 4
{"formula": "Te2SO", "functional": "PBE-GGA", "state": "relaxed", "cell": [[-3.142, -2.758, 2.708], [2.510, -4.110, -1.273], [4.164, -2.578, 6.788]], "species": ["S", "S", "Te", "Te", "Te", "Te", "O", "O"], "frac_coords": [[0.000, 0.000, 0.000], [0.750, 0.250, 0.500], [0.536, 0.125, 0.250], [0.214, 0.625, 0.250], [0.375, 0.464, 0.750], [0.875, 0.786, 0.750], [0.500, 0.500, 0.000], [0.250, 0.750, 0.500]], "e_tot_ev_per_cell": -29.74, "relative_energy_kj_per_mol_fu": 24.9, "formation_energy_uncorrected_ev_per_fu": 0.5, "dos_at_fermi_per_ev_cell": 2.74}

# 5
{"formula": "Sc3AsN", "functional": "PBE-GGA", "state": "relaxed", "cell": [[3.723, 0.000, 0.000], [0.000, 6.317, -1.225], [0.000, -4.520, 8.718]], "species": ["Sc", "Sc", "Sc", "Sc", "Sc", "Sc", "As", "As", "N", "N"], "frac_coords": [[0.250, 0.026, 0.866], [0.750, 0.974, 0.134], [0.250, 0.153, 0.460], [0.750, 0.847, 0.540], [0.250, 0.464, 0.848], [0.750, 0.536, 0.152], [0.250, 0.357, 0.261], [0.750, 0.643, 0.739], [0.250, 0.057, 0.646], [0.750, 0.943, 0.354]], "e_tot_ev_per_cell": -75.79, "relative_energy_kj_per_mol_fu": 0.0, "formation_energy_uncorrected_ev_per_fu": -5.9, "dos_at_fermi_per_ev_cell": 6.54}

# 6
{"formula": "Li6SmZn12", "functional": "PBE-GGA", "state": "relaxed", "cell": [[-4.179, 4.880, -2.978], [-3.134, -1.567, 6.153], [5.887, 3.501, 1.798]], "species": ["Li", "Li", "Li", "Li", "Li", "Li", "Sm", "Zn", "Zn", "Zn", "Zn", "Zn", "Zn", "Zn", "Zn", "Zn", "Zn", "Zn", "Zn"], "frac_coords": [[0.709, 0.275, 0.275], [0.275, 0.275, 0.709], [0.275, 0.709, 0.275], [0.725, 0.725, 0.291], [0.291, 0.725, 0.725], [0.725, 0.291, 0.725], [0.000, 0.000, 0.000], [0.886, 0.114, 0.500], [0.855, 0.603, 0.603], [0.603, 0.603, 0.855], [0.397, 0.145, 0.397], [0.397, 0.397, 0.145], [0.145, 0.397, 0.397], [0.114, 0.500, 0.886], [0.500, 0.886, 0.114], [0.114, 0.886, 0.500], [0.886, 0.500, 0.114], [0.500, 0.114, 0.886], [0.603, 0.855, 0.603]], "e_tot_ev_per_cell": -32.17, "dos_at_fermi_per_ev_cell": 4.23}

# 7
{"formula": "BSe2I", "functional": "PBE-GGA", "state": "relaxed", "cell": [[-2.645, 5.368, -3.095], [1.406, -2.758, -5.985], [-4.215, -0.479, -4.562]], "species": ["I", "I", "B", "B", "Se", "Se", "Se", "Se"], "frac_coords": [[0.000, 0.000, 0.000], [0.750, 0.250, 0.500], [0.500, 0.500, 0.000], [0.250, 0.750, 0.500], [0.499, 0.125, 0.250], [0.251, 0.625, 0.250], [0.375, 0.501, 0.750], [0.875, 0.749, 0.750]], "e_tot_ev_per_cell": -27.12, "relative_energy_kj_per_mol_fu": 159.1, "formation_energy_uncorrected_ev_per_fu": 1.6, "dos_at_fermi_per_ev_cell": 7.40}

# 8
{"formula": "TlGaAgHg2", "functional": "PBE-GGA", "state": "relaxed", "cell": [[-1.832, -1.334, 4.812], [2.495, -4.685, -0.349], [4.116, 2.034, 2.131]], "species": ["Tl", "Ga", "Hg", "Hg", "Ag"], "frac_coords": [[0.500, 0.500, 0.500], [0.000, 0.000, 0.000], [0.000, 0.500, 0.000], [0.500, 0.000, 0.000], [0.000, 0.000, 0.500]], "e_tot_ev_per_cell": -8.16, "dos_at_fermi_per_ev_cell": 1.22}

# 9
{"formula": "LaCe2Pm", "functional": "PBE-GGA", "state": "relaxed", "cell": [[5.748, 0.000, 0.000], [2.874, 4.978, 0.000], [2.874, 1.659, 4.693]], "species": ["La", "Ce", "Ce", "Pm"], "frac_coords": [[0.500, 0.500, 0.500], [0.250, 0.250, 0.250], [0.750, 0.750, 0.750], [0.000, 0.000, 0.000]], "e_tot_ev_per_cell": -20.46, "relative_energy_kj_per_mol_fu": 60.9, "dos_at_fermi_per_ev_cell": 15.02}

# 10
{"formula": "LiCdPt", "functional": "PBE-GGA", "state": "relaxed", "cell": [[4.908, 0.025, -0.011], [2.408, 4.276, 0.011], [-3.275, -2.802, 2.347]], "species": ["Li", "Pt", "Cd"], "frac_coords": [[0.675, 0.675, 0.000], [0.328, 0.328, 0.000], [0.997, 0.997, 0.000]], "e_tot_ev_per_cell": -10.23, "relative_energy_kj_per_mol_fu": 4.8, "dos_at_fermi_per_ev_cell": 1.08}

# 11
{"formula": "Nd2Ho6Tm3Zr", "functional": "PBE-GGA", "state": "relaxed", "cell": [[6.075, 0.004, 0.007], [-3.033, 5.263, 0.007], [-1.020, -1.766, 11.444]], "species": ["Nd", "Nd", "Ho", "Ho", "Ho", "Ho", "Ho", "Ho", "Tm", "Tm", "Tm", "Zr"], "frac_coords": [[0.333, 0.667, 0.000], [0.667, 0.333, 0.000], [0.917, 0.590, 0.751], [0.757, 0.757, 0.249], [0.083, 0.410, 0.249], [0.590, 0.917, 0.751], [0.243, 0.243, 0.751], [0.410, 0.083, 0.249], [0.166, 0.834, 0.500], [0.834, 0.166, 0.500], [0.500, 0.500, 0.500], [0.000, 0.000, 0.000]], "e_tot_ev_per_cell": -58.31, "dos_at_fermi_per_ev_cell": 15.36}

# 12
{"formula": "ScCdB", "functional": "PBE-GGA", "state": "relaxed", "cell": [[0.000, 3.075, 3.075], [3.075, 0.000, 3.075], [3.075, 3.075, 0.000]], "species": ["Sc", "B", "Cd"], "frac_coords": [[0.500, 0.500, 0.500], [0.250, 0.250, 0.250], [0.750, 0.750, 0.750]], "e_tot_ev_per_cell": -11.39, "relative_energy_kj_per_mol_fu": 386.0, "dos_at_fermi_per_ev_cell": 2.31}